(1)
Compound: BaLaP
Source: Alexandria
Functional: PBE
Structure: relaxed

a = 4.3406 Å, b = 4.3406 Å, c = 7.5180 Å
α = 90.00°, β = 90.00°, γ = 120.00°
With the nearest neighbours (Å) after each atom.
Sites, in units of the cell vectors:
P  0.3333  0.6667  0.6393  3 La 2.88
La  0.6667  0.3333  0.4498  3 P 2.88
Ba  0.0000  0.0000  0.9109  3 P 3.23

Results
crystal system = trigonal
space group = P3m1
ΔH_f (0 K) = -0.8455 eV/atom

***

(2)
Compound: Mn3SnH
Source: Alexandria
Functional: PBE
Structure: relaxed

a = 3.9767 Å, b = 7.6075 Å, c = 4.8137 Å
α = 73.16°, β = 65.61°, γ = 90.01°
With the nearest neighbours (Å) after each atom.
Sites, in units of the cell vectors:
Mn  0.8563  0.4115  0.2281  1 H 1.69
Mn  0.2975  0.9348  0.3461  5 Mn 2.31-2.56
Mn  0.8535  0.7843  0.2341  1 H 1.68
Mn  0.2412  0.2121  0.4587  1 H 1.75
Mn  0.5522  0.3022  0.8360  1 H 1.73
Mn  0.9442  0.1272  0.0525  7 Mn 2.41-2.56
Sn  0.5972  0.9449  0.7468  10 Mn 2.60-2.92
Sn  0.1877  0.5566  0.5655  2 H 2.24-2.51
H  0.4087  0.4131  0.1235  2 Mn 1.73-1.75
H  0.9634  0.6392  0.0135  2 Mn 1.68-1.69

Results
crystal system = monoclinic
E = -68.1 eV for the cell shown
space group = Cm

***

(3)
Compound: In4GaSn2
Source: Alexandria
Functional: PBE
Structure: relaxed

a = 5.0714 Å, b = 5.0714 Å, c = 9.3992 Å
α = 74.35°, β = 74.35°, γ = 60.00°
With the nearest neighbours (Å) after each atom.
Sites, in units of the cell vectors:
Ga  0.0000  0.0000  0.0000  6 In 3.12
In  0.6264  0.6264  0.1208  3 Ga 3.12, 4 Sn 3.15-3.31
In  0.3736  0.3736  0.8792  3 Ga 3.12, 4 Sn 3.15-3.31
In  0.1307  0.1307  0.6079  4 Sn 3.19-3.20, 1 Ga 3.50, 3 In 3.51
In  0.8693  0.8693  0.3921  4 Sn 3.19-3.20, 1 Ga 3.50, 3 In 3.51
Sn  0.2500  0.2500  0.2501  8 In 3.15-3.31
Sn  0.7500  0.7500  0.7499  8 In 3.15-3.31

Results
crystal system = trigonal
space group = R-3m
ΔH_f (0 K) = 0.0638 eV/atom

***

(4)
Compound: ScFeBiCl2
Source: Alexandria
Functional: PBE
Structure: relaxed

a = 4.4503 Å, b = 6.1129 Å, c = 4.4503 Å
α = 90.00°, β = 90.00°, γ = 90.00°
With the nearest neighbours (Å) after each atom.
Sites, in units of the cell vectors:
Sc  0.0000  0.5000  0.0000  2 Fe 3.06, 4 Bi 3.15
Fe  0.0000  0.0000  0.0000  4 Cl 2.23
Bi  0.5000  0.5000  0.5000  4 Sc 3.15
Cl  0.5000  0.0000  0.0000  2 Fe 2.23
Cl  0.0000  0.0000  0.5000  2 Fe 2.23

Results
crystal system = tetragonal
ΔE_f (raw) = -0.9 eV per formula unit
space group = P4/mmm

***

(5)
Compound: SrLiSi2
Source: Alexandria
Functional: PBE
Structure: relaxed

a = 3.8505 Å, b = 4.3083 Å, c = 6.2284 Å
α = 69.87°, β = 90.00°, γ = 90.00°
With the nearest neighbours (Å) after each atom.
Sites, in units of the cell vectors:
Si  0.5000  0.0851  0.2048  2 Si 2.39
Si  0.0000  0.2052  0.9636  2 Si 2.39
Sr  0.0000  0.4775  0.4216  7 Si 3.15-3.44
Li  0.5000  0.7322  0.9099  6 Si 2.76-2.91

Results
crystal system = monoclinic
ΔE_f (raw) = -1.1 eV per formula unit
space group = Pm

***

(6)
Compound: HfMgTi2N
Source: Alexandria
Functional: PBE
Structure: relaxed

a = 4.2176 Å, b = 4.2176 Å, c = 4.4403 Å
α = 90.00°, β = 90.00°, γ = 90.00°
With the nearest neighbours (Å) after each atom.
Sites, in units of the cell vectors:
Hf  0.0000  0.0000  0.5000  2 N 2.22
Ti  0.5000  0.0000  0.0000  2 N 2.11
Ti  0.0000  0.5000  0.0000  2 N 2.11
N  0.0000  0.0000  0.0000  4 Ti 2.11, 2 Hf 2.22
Mg  0.5000  0.5000  0.5000  4 Hf 2.98, 8 Ti 3.06

Results
crystal system = tetragonal
ΔE_f (raw) = -3.5 eV per formula unit
space group = P4/mmm

***

(7)
Compound: Ga2GeBi
Source: Alexandria
Functional: PBE
Structure: relaxed

a = 3.4583 Å, b = 3.4583 Å, c = 7.5327 Å
α = 90.00°, β = 90.00°, γ = 90.00°
With the nearest neighbours (Å) after each atom.
Sites, in units of the cell vectors:
Ga  0.0000  0.0000  0.2053  4 Ge 2.89, 1 Ga 3.09
Ga  0.0000  0.0000  0.7947  4 Ge 2.89, 1 Ga 3.09
Bi  0.5000  0.5000  0.5000  8 Ga 3.30, 4 Bi 3.46
Ge  0.5000  0.5000  0.0000  8 Ga 2.89

Results
crystal system = tetragonal
space group = P4/mmm
ΔH_f (0 K) = 0.1439 eV/atom

***

(8)
Compound: ScTc6Ge8
Source: Alexandria
Functional: PBE
Structure: relaxed

a = 6.4729 Å, b = 6.4729 Å, c = 6.4729 Å
α = 85.85°, β = 85.85°, γ = 85.85°
With the nearest neighbours (Å) after each atom.
Sites, in units of the cell vectors:
Tc  0.2170  0.4393  0.5655  5 Ge 2.54-2.67, 4 Tc 2.69-2.71
Tc  0.4345  0.7830  0.5607  5 Ge 2.54-2.67, 4 Tc 2.69-2.71
Tc  0.5655  0.2170  0.4393  5 Ge 2.54-2.67, 4 Tc 2.69-2.71
Tc  0.4393  0.5655  0.2170  5 Ge 2.54-2.67, 4 Tc 2.69-2.71
Tc  0.7830  0.5607  0.4345  5 Ge 2.54-2.67, 4 Tc 2.69-2.71
Tc  0.5607  0.4345  0.7830  5 Ge 2.54-2.67, 4 Tc 2.69-2.71
Ge  0.2314  0.2314  0.2314  3 Tc 2.62, 1 Sc 2.78
Ge  0.2228  0.6302  0.9002  4 Tc 2.54-2.67, 1 Sc 2.80
Ge  0.3698  0.0998  0.7772  4 Tc 2.54-2.67, 1 Sc 2.80
Ge  0.0998  0.7772  0.3698  4 Tc 2.54-2.67, 1 Sc 2.80
Ge  0.7686  0.7686  0.7686  3 Tc 2.62, 1 Sc 2.78
Ge  0.7772  0.3698  0.0998  4 Tc 2.54-2.67, 1 Sc 2.80
Ge  0.9002  0.2228  0.6302  4 Tc 2.54-2.67, 1 Sc 2.80
Ge  0.6302  0.9002  0.2228  4 Tc 2.54-2.67, 1 Sc 2.80
Sc  0.0000  0.0000  0.0000  8 Ge 2.78-2.80

Results
crystal system = trigonal
space group = R-3
ΔH_f (0 K) = -0.0018 eV/atom

***

(9)
Compound: MgSb2W
Source: Alexandria
Functional: PBE
Structure: relaxed

a = 6.4173 Å, b = 6.4173 Å, c = 7.8044 Å
α = 65.72°, β = 65.72°, γ = 90.00°
With the nearest neighbours (Å) after each atom.
Sites, in units of the cell vectors:
Sb  0.3750  0.3449  0.7500  2 W 2.66, 2 Mg 2.89
Sb  0.8750  0.9051  0.7500  2 W 2.66, 2 Mg 2.89
Sb  0.6551  0.1250  0.2500  2 W 2.66, 2 Mg 2.89
Sb  0.0949  0.6250  0.2500  2 W 2.66, 2 Mg 2.89
W  0.0000  0.0000  0.0000  4 Sb 2.66
W  0.7500  0.2500  0.5000  4 Sb 2.66
Mg  0.5000  0.5000  0.0000  4 Sb 2.89
Mg  0.2500  0.7500  0.5000  4 Sb 2.89

Results
crystal system = tetragonal
ΔE_f (raw) = 2.6 eV per formula unit
space group = I-42d

***

(10)
Compound: AcPaSn
Source: Alexandria
Functional: PBE
Structure: relaxed

a = 3.3082 Å, b = 5.5069 Å, c = 5.5069 Å
α = 120.00°, β = 90.00°, γ = 90.00°
With the nearest neighbours (Å) after each atom.
Sites, in units of the cell vectors:
Sn  0.6664  0.6667  0.3333  2 Sn 3.31, 6 Pa 3.58-3.59, 6 Ac 3.58
Ac  0.1663  0.0000  0.0000  3 Pa 3.18, 2 Ac 3.31
Pa  0.1674  0.3333  0.6667  3 Ac 3.18, 2 Pa 3.31

Results
crystal system = hexagonal
space group = P-6m2
ΔH_f (0 K) = 0.2615 eV/atom

***

(11)
Compound: PtW2Br
Source: Alexandria
Functional: PBE
Structure: relaxed

a = 5.7604 Å, b = 5.7604 Å, c = 6.9523 Å
α = 65.53°, β = 65.53°, γ = 90.00°
With the nearest neighbours (Å) after each atom.
Sites, in units of the cell vectors:
Br  0.5000  0.5000  0.0000  4 W 2.51
Br  0.2500  0.7500  0.5000  4 W 2.51
Pt  0.7500  0.2500  0.5000  4 W 2.44
Pt  0.0000  0.0000  0.0000  4 W 2.44
W  0.3750  0.3648  0.7500  2 Pt 2.44, 2 Br 2.51
W  0.6352  0.1250  0.2500  2 Pt 2.44, 2 Br 2.51
W  0.1148  0.6250  0.2500  2 Pt 2.44, 2 Br 2.51
W  0.8750  0.8852  0.7500  2 Pt 2.44, 2 Br 2.51

Results
crystal system = tetragonal
ΔE_f (raw) = 6.0 eV per formula unit
space group = I-42d

***

(12)
Compound: TbEr8Tm2
Source: Alexandria
Functional: PBE
Structure: relaxed

a = 5.8298 Å, b = 9.0007 Å, c = 9.4002 Å
α = 61.40°, β = 73.08°, γ = 52.55°
With the nearest neighbours (Å) after each atom.
Sites, in units of the cell vectors:
Er  0.2813  0.4555  0.0000  4 Er 2.86-3.18
Er  0.5000  0.2029  0.5943  1 Tb 3.35, 4 Tm 3.42-3.58, 6 Er 3.44-3.58
Er  0.7948  0.0971  0.2532  5 Er 3.18-3.53, 2 Tm 3.44-3.51
Er  0.7187  0.5445  0.0000  4 Er 2.86-3.18
Er  0.2052  0.6497  0.2532  5 Er 3.18-3.53, 2 Tm 3.44-3.51
Er  0.2052  0.9029  0.7468  5 Er 3.18-3.53, 2 Tm 3.44-3.51
Er  0.5000  0.7971  0.4057  1 Tb 3.35, 4 Tm 3.42-3.58, 6 Er 3.44-3.58
Er  0.7948  0.3503  0.7468  5 Er 3.18-3.53, 2 Tm 3.44-3.51
Tm  0.0000  0.3110  0.3780  10 Er 3.42-3.58
Tm  0.0000  0.6890  0.6220  10 Er 3.42-3.58
Tb  0.5000  0.0000  0.0000  4 Er 3.35-3.48

Results
crystal system = monoclinic
space group = C2/m
ΔH_f (0 K) = 0.1608 eV/atom

***

What did the eighth record say?
Compound: ScTc6Ge8
Source: Alexandria
Functional: PBE
Structure: relaxed

a = 6.4729 Å, b = 6.4729 Å, c = 6.4729 Å
α = 85.85°, β = 85.85°, γ = 85.85°
With the nearest neighbours (Å) after each atom.
Sites, in units of the cell vectors:
Tc  0.2170  0.4393  0.5655  5 Ge 2.54-2.67, 4 Tc 2.69-2.71
Tc  0.4345  0.7830  0.5607  5 Ge 2.54-2.67, 4 Tc 2.69-2.71
Tc  0.5655  0.2170  0.4393  5 Ge 2.54-2.67, 4 Tc 2.69-2.71
Tc  0.4393  0.5655  0.2170  5 Ge 2.54-2.67, 4 Tc 2.69-2.71
Tc  0.7830  0.5607  0.4345  5 Ge 2.54-2.67, 4 Tc 2.69-2.71
Tc  0.5607  0.4345  0.7830  5 Ge 2.54-2.67, 4 Tc 2.69-2.71
Ge  0.2314  0.2314  0.2314  3 Tc 2.62, 1 Sc 2.78
Ge  0.2228  0.6302  0.9002  4 Tc 2.54-2.67, 1 Sc 2.80
Ge  0.3698  0.0998  0.7772  4 Tc 2.54-2.67, 1 Sc 2.80
Ge  0.0998  0.7772  0.3698  4 Tc 2.54-2.67, 1 Sc 2.80
Ge  0.7686  0.7686  0.7686  3 Tc 2.62, 1 Sc 2.78
Ge  0.7772  0.3698  0.0998  4 Tc 2.54-2.67, 1 Sc 2.80
Ge  0.9002  0.2228  0.6302  4 Tc 2.54-2.67, 1 Sc 2.80
Ge  0.6302  0.9002  0.2228  4 Tc 2.54-2.67, 1 Sc 2.80
Sc  0.0000  0.0000  0.0000  8 Ge 2.78-2.80

Results
crystal system = trigonal
space group = R-3
ΔH_f (0 K) = -0.0018 eV/atom